# Ba6Na2Mn2Nb2O17 | Alexandria via LeMat-Bulk | PBE+U | optimized geometry
data_Ba6Na2Mn2Nb2O17
_symmetry_space_group_name_H-M 'P 63/m m c'
_symmetry_Int_Tables_number 194
_symmetry_space_group_name_Hall '-P 6c 2c'
_cell_length_a 5.9830
_cell_length_b 5.9830
_cell_length_c 30.4252
_cell_angle_alpha 90.00
_cell_angle_beta 90.00
_cell_angle_gamma 120.00
loop_
_atom_site_label
_atom_site_type_symbol
_atom_site_fract_x
_atom_site_fract_y
_atom_site_fract_z
_atom_site_occupancy
Ba1 Ba 0.0000 0.0000 0.0000 1
Ba2 Ba 0.0000 0.0000 0.2500 1
Ba3 Ba 0.3333 0.6667 0.0893 1
Ba4 Ba 0.3333 0.6667 0.6812 1
Na1 Na 0.0000 0.0000 0.1240 1
Mn1 Mn 0.3333 0.6667 0.5519 1
Nb1 Nb 0.3333 0.6667 0.2011 1
O1 O 0.0271 0.5136 0.2500 1
O2 O 0.1744 0.3488 0.1694 1
O3 O 0.1772 0.3544 0.5719 1
O4 O 0.3333 0.6667 0.0039 1
# - raw total energy (eV for the cell shown) = -402.13
# - DOS(E_F) (states/eV per atom) = 0.000
# - total magnetic moment (μB/f.u.) = 4.03